12
Lattice="-1.1926 4.6622 -3.1096 -6.4288 -6.8400 -2.5111 -4.4846 2.3496 5.2428" Properties=species:S:1:pos:R:3 comment="SmDyYHo3, optimized geometry, DFT PBE" energy_ev_per_atom=-4.716 space_group=C2/m pbc="T T T"
Ho -7.8421 -3.7022 -2.5432
Dy -7.3653 -1.9010 -0.0254
Ho -4.1566 -1.3608 -0.4462
Sm -10.4244 -0.0610 -1.3720
Ho -6.3618 -0.0489 -2.9120
Ho -4.2639 3.8741 2.1653
Sm -1.6815 0.2329 0.9941
Ho -5.7442 0.2208 2.5341
Y -9.2640 -0.9142 2.1822
Y -2.8420 1.0861 -2.5601
Ho -7.9494 1.5327 0.0683
Dy -4.7407 2.0729 -0.3525

=====

5
Lattice="4.8996 0.0000 0.0000 0.0000 4.8996 0.0000 0.0000 0.0000 4.8996" Properties=species:S:1:pos:R:3 comment="TlZnFe3, optimized geometry, DFT PBE" energy_ev_per_atom=-4.104 relative_energy_mev_per_atom=692 space_group=Pm-3m pbc="T T T"
Fe 0.0000 0.0000 2.4498
Tl 0.0000 0.0000 0.0000
Fe 2.4498 0.0000 0.0000
Fe 0.0000 2.4498 0.0000
Zn 2.4498 2.4498 2.4498

=====

4
Lattice="-1.3004 -2.2896 -1.2844 1.9900 -1.7946 1.1842 -4.5580 -0.9233 6.2605" Properties=species:S:1:pos:R:3 comment="SbMoIr2, optimized geometry, DFT PBE" energy_ev_per_atom=-8.104 e_form_raw_ev_per_atom=0.065 space_group=P4/mmm pbc="T T T"
Ir -2.1866 -0.4429 3.0034
Ir -0.0924 -0.0187 0.1268
Sb -3.0737 -2.7345 4.6452
Mo -0.7947 -2.2729 1.5150

=====

5
Lattice="3.2840 0.0000 0.0000 0.0000 3.2840 0.0000 0.0000 0.0000 3.5496" Properties=species:S:1:pos:R:3 comment="HOsN2F, optimized geometry, DFT PBE" energy_ev_per_atom=-4.923 relative_energy_mev_per_atom=1012 space_group=P4/mmm pbc="T T T"
Os 1.6420 1.6420 1.7748
N 0.0000 1.6420 0.0000
N 1.6420 0.0000 0.0000
H 0.0000 0.0000 0.0000
F 0.0000 0.0000 1.7748